SnPWO2 | GGA+U | relaxed Values from VASP.

Quantum ESPRESSO input file:
```
&SYSTEM
  ibrav = 0, nat = 5, ntyp = 4
/
ATOMIC_SPECIES
O 16.00 O.upf
P 30.97 P.upf
Sn 118.71 Sn.upf
W 183.84 W.upf
ATOMIC_POSITIONS angstrom
O 0.671 -1.740 -0.586
O -1.129 -0.884 1.329
P 2.087 0.170 1.885
Sn 0.000 0.000 0.000
W 1.629 -2.453 2.628
CELL_PARAMETERS angstrom
-2.257 -1.767 2.658
1.343 -3.479 -1.173
4.173 0.340 3.770
```

Computed properties:
- final energy (eV per atom) = -5.346
- relative energy among the computed polymorphs (meV/atom) = 832
- total moment (μB per formula unit) = 3.12
- D(E_F) (states/eV/cell) = 1.547